Here is an optimized crystal structure of DyInGaPd from the Alexandria database. Energies are from GGA-PBE.

Cell: 6.872 6.872 6.872 Å, 90.00 90.00 90.00°
Space group F-43m (No. 216)
Symmetry-distinct sites (fractional):
Dy 0.000 0.000 0.000 x4
In 0.000 0.000 0.500 x4
Ga 0.250 0.250 0.750 x4
Pd 0.250 0.250 0.250 x4

Computed properties:
The size of the total moment comes out at 0.0 μB per formula unit. As for the density of states at the Fermi level: 0.768 states/eV/atom. For the formation enthalpy at 0 K, the calculation gives -2.387 eV per formula unit.